Crystalline Y3CdIn2 at its relaxed geometry, computed with PBE.

a b c (Å): 3.741 3.741 11.396
angles (deg): 90.00 90.00 90.00
Space group P4/mmm (No. 123)
One atom of each set of equivalent atoms:
Y  0.000  0.000  0.000
Y  0.000  0.000  0.338
Cd  0.500  0.500  0.500
In  0.500  0.500  0.171

The value obtained for the density is 6.34 Mg/m³. The polymorph energy (0 for the lowest one) comes out at 0.008 eV per atom.


Crystalline Ce2Tl3NiSe6 at its relaxed geometry, computed with PBE.

a b c (Å): 7.174 12.281 8.116
angles (deg): 90.00 107.41 90.00
Space group C2/m (No. 12)
One atom of each set of equivalent atoms:
Ce  0.000  0.166  0.000
Tl  0.000  0.000  0.500
Tl  0.000  0.325  0.500
Ni  0.000  0.500  0.000
Se  0.216  0.348  0.192
Se  0.250  0.000  0.213

The value obtained for the density is 6.94 Mg/m³. The calculation puts the uncorrected formation energy at -0.92 eV per atom.


Crystalline Tb6Ho5Pu at its relaxed geometry, computed with PBE.

a b c (Å): 6.118 10.603 11.671
angles (deg): 90.00 100.10 90.00
Space group C2/m (No. 12)
One atom of each set of equivalent atoms:
Tb  0.247  0.000  0.252
Tb  0.248  0.165  0.748
Ho  0.000  0.167  0.000
Ho  0.000  0.334  0.500
Ho  0.000  0.500  0.000
Pu  0.000  0.000  0.500

The value obtained for the density is 9.01 Mg/m³. As for the total DFT energy (no corrections): -0.395 Ry/atom.


Crystalline RePPt at its relaxed geometry, computed with PBE.

a b c (Å): 5.965 5.965 5.965
angles (deg): 90.00 90.00 90.00
Space group F-43m (No. 216)
One atom of each set of equivalent atoms:
Re  0.000  0.000  0.000
P  0.000  0.000  0.500
Pt  0.250  0.250  0.750

The value obtained for the density is 12.90 Mg/m³. The polymorph energy (0 for the lowest one) comes out at 0.963 eV per atom.


Crystalline Tb4Dy3Y3 at its relaxed geometry, computed with PBE.

a b c (Å): 3.747 13.147 13.136
angles (deg): 90.00 90.00 90.00
Space group Amm2 (No. 38)
One atom of each set of equivalent atoms:
Tb  0.000  0.000  0.000
Tb  0.000  0.000  0.256
Tb  0.000  0.127  0.630
Dy  0.000  0.250  0.379
Dy  0.500  0.000  0.799
Y  0.500  0.000  0.458
Y  0.500  0.171  0.128

The value obtained for the density is 7.13 Mg/m³. As for the total DFT energy (no corrections): -0.373 Ry/atom.


Crystalline K2RbNb at its relaxed geometry, computed with PBE.

a b c (Å): 5.650 5.650 27.175
angles (deg): 90.00 90.00 90.00
Space group I-42d (No. 122)
One atom of each set of equivalent atoms:
K  0.223  0.250  0.125
Rb  0.000  0.000  0.500
Nb  0.000  0.000  0.000

The value obtained for the density is 1.96 Mg/m³. The polymorph energy (0 for the lowest one) comes out at 0.121 eV per atom.


Crystalline Na12Sr at its relaxed geometry, computed with PBE.

a b c (Å): 12.223 12.223 6.740
angles (deg): 90.00 90.00 90.00
Space group I4/mmm (No. 139)
One atom of each set of equivalent atoms:
Na  0.000  0.209  0.000
Na  0.000  0.353  0.500
Na  0.250  0.250  0.250
Sr  0.000  0.000  0.500

The value obtained for the density is 1.20 Mg/m³. The polymorph energy (0 for the lowest one) comes out at 0.000 eV per atom.


Crystalline P2PbSCl at its relaxed geometry, computed with PBE.

a b c (Å): 5.574 5.574 5.202
angles (deg): 90.00 90.00 90.00
Space group P4/mmm (No. 123)
One atom of each set of equivalent atoms:
P  0.000  0.500  0.000
Pb  0.000  0.000  0.000
S  0.000  0.000  0.500
Cl  0.500  0.500  0.500

The value obtained for the density is 3.46 Mg/m³. The polymorph energy (0 for the lowest one) comes out at 0.738 eV per atom. The calculation puts the uncorrected formation energy at 1.22 eV per atom.


Crystalline CaY2Cl at its relaxed geometry, computed with PBE.

a b c (Å): 4.433 4.433 6.782
angles (deg): 90.00 90.00 90.00
Space group P4/mmm (No. 123)
One atom of each set of equivalent atoms:
Ca  0.000  0.000  0.000
Y  0.000  0.500  0.500
Cl  0.500  0.500  0.000

The value obtained for the density is 3.16 Mg/m³. The polymorph energy (0 for the lowest one) comes out at 0.538 eV per atom. The calculation puts the uncorrected formation energy at -0.19 eV per atom.


Crystalline SnTe4Pb3 at its relaxed geometry, computed with PBE.

a b c (Å): 4.605 4.605 13.056
angles (deg): 90.00 90.00 90.00
Space group P4/mmm (No. 123)
One atom of each set of equivalent atoms:
Sn  0.000  0.000  0.000
Te  0.000  0.000  0.247
Te  0.500  0.500  0.000
Te  0.500  0.500  0.500
Pb  0.000  0.000  0.500
Pb  0.500  0.500  0.249

The value obtained for the density is 7.50 Mg/m³. The polymorph energy (0 for the lowest one) comes out at 0.000 eV per atom. The calculation puts the uncorrected formation energy at -0.37 eV per atom.


Crystalline Sr8Al2Hg at its relaxed geometry, computed with PBE.

a b c (Å): 5.614 9.675 15.961
angles (deg): 90.00 90.00 90.00
Space group Immm (No. 71)
One atom of each set of equivalent atoms:
Sr  0.000  0.000  0.133
Sr  0.000  0.211  0.339
Sr  0.000  0.327  0.000
Al  0.000  0.500  0.195
Hg  0.000  0.500  0.500

The value obtained for the density is 3.66 Mg/m³. As for the total DFT energy (no corrections): -0.147 Ry/atom.


Crystalline Rb4Zn3SnF12 at its relaxed geometry, computed with PBE.

a b c (Å): 8.662 8.662 8.662
angles (deg): 90.00 90.00 90.00
Space group Im-3m (No. 229)
One atom of each set of equivalent atoms:
Rb  0.250  0.250  0.250
Zn  0.000  0.000  0.500
Sn  0.000  0.000  0.000
F  0.000  0.000  0.269
F  0.000  0.250  0.500

The value obtained for the density is 4.52 Mg/m³. The calculation puts the uncorrected formation energy at -2.51 eV per atom.


Crystalline Tb3Dy2Sc3 at its relaxed geometry, computed with PBE.

a b c (Å): 6.1022 6.1022 22.7442
angles (deg): 90.00 90.00 120.00
Space group R-3m (No. 166, hexagonal axes)
One atom of each set of equivalent atoms:
Tb  0.0000  0.0000  0.0000
Tb  0.0000  0.0000  0.4273
Dy  0.0000  0.0000  0.2910
Sc  0.0000  0.5000  0.5000

The value obtained for the density is 6.36 Mg/m³. The polymorph energy (0 for the lowest one) comes out at 0.250 eV per atom.


Crystalline HoThNi2 at its relaxed geometry, computed with PBE.

a b c (Å): 4.7191 4.7191 12.7957
angles (deg): 90.00 90.00 120.00
Space group R-3m (No. 166, hexagonal axes)
One atom of each set of equivalent atoms:
Ho  0.0000  0.0000  0.0000
Th  0.0000  0.0000  0.5000
Ni  0.0000  0.0000  0.2769

The value obtained for the density is 10.38 Mg/m³. The polymorph energy (0 for the lowest one) comes out at 0.101 eV per atom.


Crystalline Np3Ge6Pd20 at its relaxed geometry, computed with PBE.

a b c (Å): 12.542 12.542 12.542
angles (deg): 90.00 90.00 90.00
Space group Fm-3m (No. 225)
One atom of each set of equivalent atoms:
Np  0.000  0.000  0.000
Np  0.250  0.250  0.250
Ge  0.000  0.000  0.269
Pd  0.000  0.174  0.174
Pd  0.119  0.119  0.381

The value obtained for the density is 11.03 Mg/m³. As for the total DFT energy (no corrections): -0.465 Ry/atom.


Crystalline TiOsPd3 at its relaxed geometry, computed with PBE.

a b c (Å): 4.769 4.769 4.769
angles (deg): 90.00 90.00 90.00
Space group Pm-3m (No. 221)
One atom of each set of equivalent atoms:
Ti  0.000  0.000  0.000
Os  0.500  0.500  0.500
Pd  0.000  0.500  0.500

The value obtained for the density is 8.53 Mg/m³. The polymorph energy (0 for the lowest one) comes out at 0.105 eV per atom.


Crystalline CaCoHg4 at its relaxed geometry, computed with PBE.

a b c (Å): 8.243 8.243 8.243
angles (deg): 90.00 90.00 90.00
Space group F-43m (No. 216)
One atom of each set of equivalent atoms:
Ca  0.000  0.000  0.000
Co  0.250  0.250  0.750
Hg  0.125  0.125  0.375

The value obtained for the density is 10.69 Mg/m³. As for the total DFT energy (no corrections): -0.107 Ry/atom.


Crystalline HoInGa2Cl6 at its relaxed geometry, computed with PBE.

a b c (Å): 7.506 7.523 7.929
angles (deg): 90.03 118.25 119.92
Space group P1 (No. 1)
One atom of each set of equivalent atoms:
Ho  0.000  0.000  0.000
In  0.976  0.488  0.464
Ga  0.374  0.688  0.062
Ga  0.392  0.196  0.589
Cl  0.146  0.241  0.794
Cl  0.182  0.365  0.258
Cl  0.442  0.075  0.257
Cl  0.552  0.904  0.795
Cl  0.890  0.648  0.795
Cl  0.893  0.817  0.259

The value obtained for the density is 3.23 Mg/m³. The calculation puts the uncorrected formation energy at -1.36 eV per atom.


Crystalline In2Se at its relaxed geometry, computed with PBE.

a b c (Å): 7.209 7.209 7.209
angles (deg): 90.00 90.00 90.00
Space group Pa-3 (No. 205)
One atom of each set of equivalent atoms:
In  0.121  0.121  0.121
Se  0.000  0.000  0.500

The value obtained for the density is 5.47 Mg/m³. The polymorph energy (0 for the lowest one) comes out at 0.153 eV per atom. The calculation puts the uncorrected formation energy at -0.15 eV per atom.


Crystalline LiTbGdY at its relaxed geometry, computed with PBE.

a b c (Å): 7.785 7.785 7.785
angles (deg): 90.00 90.00 90.00
Space group F-43m (No. 216)
One atom of each set of equivalent atoms:
Li  0.000  0.000  0.000
Tb  0.250  0.250  0.750
Gd  0.000  0.000  0.500
Y  0.250  0.250  0.250

The value obtained for the density is 5.80 Mg/m³. As for the total DFT energy (no corrections): -0.484 Ry/atom.


Crystalline La6PaO12 at its relaxed geometry, computed with PBE.

a b c (Å): 10.5700 10.5700 9.9901
angles (deg): 90.00 90.00 120.00
Space group R-3 (No. 148, hexagonal axes)
One atom of each set of equivalent atoms:
La  0.0469  0.7906  0.1504
Pa  0.0000  0.0000  0.5000
O  0.0359  0.8116  0.9012
O  0.0390  0.8412  0.3932

The value obtained for the density is 6.48 Mg/m³. The calculation puts the uncorrected formation energy at -3.44 eV per atom.


Crystalline Ta4FeCl at its relaxed geometry, computed with PBE.

a b c (Å): 7.762 7.762 7.762
angles (deg): 90.00 90.00 90.00
Space group F-43m (No. 216)
One atom of each set of equivalent atoms:
Ta  0.123  0.123  0.123
Fe  0.250  0.250  0.750
Cl  0.000  0.000  0.500

The value obtained for the density is 11.58 Mg/m³. The calculation puts the uncorrected formation energy at 0.98 eV per atom.


Crystalline ZnHRuS2 at its relaxed geometry, computed with PBE.

a b c (Å): 4.637 4.637 3.413
angles (deg): 90.00 90.00 90.00
Space group P4/mmm (No. 123)
One atom of each set of equivalent atoms:
Zn  0.000  0.000  0.000
H  0.500  0.500  0.000
Ru  0.500  0.500  0.500
S  0.000  0.500  0.500

The value obtained for the density is 5.24 Mg/m³. As for the total DFT energy (no corrections): -0.316 Ry/atom.